1.
Be3W PBE-GGA relaxed; D(E_F) = 2.1 states/eV/cell; E_tot = -6.258 eV/atom; formation enthalpy at 0 K = -0.225 eV per atom; E above lowest polymorph = 0.00 eV per formula unit; calculated volume = 116.4 Å³ per cell; space-group type = No. 166; mass density = 9.03 g/cm3
1.0
2.2071 1.2743 6.8973
-2.2071 1.2743 6.8973
0.0000 -2.5485 6.8973
Be W
9 3
Direct
0.0000 0.0000 0.0000
0.0832 0.0832 0.5762
0.0832 0.5762 0.0832
0.1656 0.1656 0.1656
0.4238 0.9168 0.9168
0.5762 0.0832 0.0832
0.8344 0.8344 0.8344
0.9168 0.4238 0.9168
0.9168 0.9168 0.4238
0.3556 0.3556 0.3556
0.5000 0.5000 0.5000
0.6444 0.6444 0.6444



2.
BeW2 PBE-GGA relaxed; D(E_F) = 2.1 states/eV/cell; E_tot = -9.747 eV/atom; formation enthalpy at 0 K = 0.130 eV per atom; E above lowest polymorph = 0.77 eV per formula unit; calculated volume = 83.8 Å³ per cell; space-group type = No. 12; mass density = 14.93 g/cm3
1.0
4.8571 -1.5937 0.0000
4.8571 1.5937 0.0000
-1.8636 0.0000 5.4136
Be W
2 4
Direct
0.1821 0.1821 0.0851
0.8179 0.8179 0.9149
0.1687 0.1687 0.5868
0.4914 0.4914 0.2191
0.5086 0.5086 0.7809
0.8313 0.8313 0.4132



3.
BeW3 PBE-GGA relaxed; D(E_F) = 4.6 states/eV/cell; E_tot = -10.424 eV/atom; formation enthalpy at 0 K = 0.222 eV per atom; E above lowest polymorph = 0.46 eV per formula unit; calculated volume = 117.2 Å³ per cell; space-group type = No. 63; mass density = 15.89 g/cm3
1.0
2.9167 -4.5111 0.0000
2.9167 4.5111 0.0000
0.0000 0.0000 4.4521
Be W
2 6
Direct
0.1465 0.8535 0.7500
0.8535 0.1465 0.2500
0.1116 0.3453 0.7500
0.3453 0.1116 0.2500
0.3724 0.6276 0.2500
0.6276 0.3724 0.7500
0.6547 0.8884 0.7500
0.8884 0.6547 0.2500



4.
Be4W3 PBE-GGA relaxed; D(E_F) = 1.9 states/eV/cell; E_tot = -7.548 eV/atom; formation enthalpy at 0 K = 0.132 eV per atom; calculated volume = 82.0 Å³ per cell; space-group type = No. 139; mass density = 11.90 g/cm3
1.0
-1.3466 1.3466 11.3056
1.3466 -1.3466 11.3056
1.3466 1.3466 -11.3056
Be W
4 3
Direct
0.0763 0.0763 0.0000
0.3760 0.3760 0.0000
0.6240 0.6240 0.0000
0.9237 0.9237 0.0000
0.1987 0.1987 0.0000
0.5000 0.5000 0.0000
0.8013 0.8013 0.0000



5.
Be2W PBE-GGA relaxed; D(E_F) = 2.8 states/eV/cell; E_tot = -6.026 eV/atom; formation enthalpy at 0 K = 0.776 eV per atom; E above lowest polymorph = 3.27 eV per formula unit; calculated volume = 37.1 Å³ per cell; space-group type = No. 71; mass density = 9.03 g/cm3
1.0
-1.2893 2.1962 3.2783
1.2893 -2.1962 3.2783
1.2893 2.1962 -3.2783
Be W
2 1
Direct
0.1722 0.1722 0.0000
0.8278 0.8278 0.0000
0.5000 0.0000 0.5000



6.
Be3W PBE-GGA relaxed; D(E_F) = 1.6 states/eV/cell; E_tot = -5.834 eV/atom; formation enthalpy at 0 K = 0.199 eV per atom; E above lowest polymorph = 1.70 eV per formula unit; calculated volume = 41.7 Å³ per cell; space-group type = No. 139; mass density = 8.39 g/cm3
1.0
-1.6987 1.6987 3.6141
1.6987 -1.6987 3.6141
1.6987 1.6987 -3.6141
Be W
3 1
Direct
0.0000 0.0000 0.0000
0.2500 0.7500 0.5000
0.7500 0.2500 0.5000
0.5000 0.5000 0.0000



What is the formula in the second record?
BeW2



Among the records above, which one has the lowest formation enthalpy at 0 K?
number 1



The lowest D(E_F) belongs to which entry?
number 6



The lowest mass density belongs to which entry?
number 6